1.
# Zr2RhO PBE optimized geometry
# N(E_F) (states/eV/f.u.): 2.76
# Crystal system: trigonal
# Uncorrected formation energy (eV per atom): -1.04
data_Zr2RhO
_cell_length_a 3.008
_cell_length_b 3.008
_cell_length_c 24.599
_cell_angle_alpha 90.00
_cell_angle_beta 90.00
_cell_angle_gamma 120.00
_space_group_name_H-M_alt 'P 1'
_space_group_IT_number 1
loop_
_space_group_symop_operation_xyz
'x,y,z'
loop_
_atom_site_label
_atom_site_type_symbol
_atom_site_fract_x
_atom_site_fract_y
_atom_site_fract_z
_atom_site_occupancy
Zr1 Zr 0.000 0.000 0.102 1
Zr2 Zr 0.000 0.000 0.898 1
Zr3 Zr 0.333 0.667 0.564 1
Zr4 Zr 0.333 0.667 0.769 1
Zr5 Zr 0.667 0.333 0.231 1
Zr6 Zr 0.667 0.333 0.436 1
Rh1 Rh 0.000 0.000 0.000 1
Rh2 Rh 0.333 0.667 0.667 1
Rh3 Rh 0.667 0.333 0.333 1
O1 O 0.000 0.000 0.500 1
O2 O 0.333 0.667 0.167 1
O3 O 0.667 0.333 0.833 1

***

2.
# Ba4Sr6Ca PBE optimized geometry
# Energy relative to the elements (eV per atom): 0.13
# N(E_F) (states/eV/f.u.): 19.66
# Crystal system: hexagonal
# Polymorph energy (0 for the lowest one) (eV per atom): 0.058
data_Ba4Sr6Ca
_cell_length_a 13.541
_cell_length_b 13.541
_cell_length_c 4.167
_cell_angle_alpha 90.00
_cell_angle_beta 90.00
_cell_angle_gamma 120.00
_space_group_name_H-M_alt 'P 1'
_space_group_IT_number 1
loop_
_space_group_symop_operation_xyz
'x,y,z'
loop_
_atom_site_label
_atom_site_type_symbol
_atom_site_fract_x
_atom_site_fract_y
_atom_site_fract_z
_atom_site_occupancy
Ba1 Ba 0.000 0.000 0.000 1
Ba2 Ba 0.007 0.503 0.500 1
Ba3 Ba 0.497 0.503 0.500 1
Ba4 Ba 0.497 0.993 0.500 1
Sr1 Sr 0.172 0.345 0.000 1
Sr2 Sr 0.172 0.828 0.000 1
Sr3 Sr 0.322 0.161 0.500 1
Sr4 Sr 0.655 0.828 0.000 1
Sr5 Sr 0.839 0.161 0.500 1
Sr6 Sr 0.839 0.678 0.500 1
Ca1 Ca 0.667 0.333 0.000 1

***

3.
# K3Te2Pd PBE optimized geometry
# N(E_F) (states/eV/f.u.): 5.17
# Crystal system: orthorhombic
# Uncorrected formation energy (eV per atom): -0.69
data_K3Te2Pd
_cell_length_a 9.051
_cell_length_b 9.051
_cell_length_c 9.051
_cell_angle_alpha 121.96
_cell_angle_beta 78.06
_cell_angle_gamma 132.66
_space_group_name_H-M_alt 'P 1'
_space_group_IT_number 1
loop_
_space_group_symop_operation_xyz
'x,y,z'
loop_
_atom_site_label
_atom_site_type_symbol
_atom_site_fract_x
_atom_site_fract_y
_atom_site_fract_z
_atom_site_occupancy
K1 K 0.173 0.671 0.844 1
K2 K 0.250 0.250 0.000 1
K3 K 0.327 0.171 0.499 1
K4 K 0.673 0.829 0.501 1
K5 K 0.750 0.750 0.000 1
K6 K 0.827 0.329 0.156 1
Te1 Te 0.090 0.303 0.393 1
Te2 Te 0.410 0.803 0.214 1
Te3 Te 0.590 0.197 0.786 1
Te4 Te 0.910 0.697 0.607 1
Pd1 Pd 0.250 0.750 0.500 1
Pd2 Pd 0.750 0.250 0.500 1

***

4.
# LiW2 PBE optimized geometry
# Energy relative to the elements (eV per atom): 0.60
# N(E_F) (states/eV/f.u.): 1.97
# Crystal system: tetragonal
# Polymorph energy (0 for the lowest one) (eV per atom): 0.235
data_LiW2
_cell_length_a 2.632
_cell_length_b 2.632
_cell_length_c 13.803
_cell_angle_alpha 90.00
_cell_angle_beta 90.00
_cell_angle_gamma 90.00
_space_group_name_H-M_alt 'P 1'
_space_group_IT_number 1
loop_
_space_group_symop_operation_xyz
'x,y,z'
loop_
_atom_site_label
_atom_site_type_symbol
_atom_site_fract_x
_atom_site_fract_y
_atom_site_fract_z
_atom_site_occupancy
Li1 Li 0.000 0.000 0.000 1
Li2 Li 0.500 0.500 0.500 1
W1 W 0.000 0.000 0.334 1
W2 W 0.000 0.000 0.666 1
W3 W 0.500 0.500 0.166 1
W4 W 0.500 0.500 0.834 1

***

5.
# DyInPt PBE optimized geometry
# Energy relative to the elements (eV per atom): -1.01
# N(E_F) (states/eV/f.u.): 2.46
# Crystal system: hexagonal
data_DyInPt
_cell_length_a 7.704
_cell_length_b 7.704
_cell_length_c 3.838
_cell_angle_alpha 90.00
_cell_angle_beta 90.00
_cell_angle_gamma 120.00
_space_group_name_H-M_alt 'P 1'
_space_group_IT_number 1
loop_
_space_group_symop_operation_xyz
'x,y,z'
loop_
_atom_site_label
_atom_site_type_symbol
_atom_site_fract_x
_atom_site_fract_y
_atom_site_fract_z
_atom_site_occupancy
Dy1 Dy 0.000 0.595 0.000 1
Dy2 Dy 0.405 0.405 0.000 1
Dy3 Dy 0.595 0.000 0.000 1
In1 In 0.000 0.262 0.500 1
In2 In 0.262 0.000 0.500 1
In3 In 0.738 0.738 0.500 1
Pt1 Pt 0.000 0.000 0.000 1
Pt2 Pt 0.333 0.667 0.500 1
Pt3 Pt 0.667 0.333 0.500 1

***

6.
# Ca2RhAu PBE optimized geometry
# Energy relative to the elements (eV per atom): -0.34
# N(E_F) (states/eV/f.u.): 1.17
# Crystal system: orthorhombic
data_Ca2RhAu
_cell_length_a 3.488
_cell_length_b 4.567
_cell_length_c 5.926
_cell_angle_alpha 90.00
_cell_angle_beta 90.00
_cell_angle_gamma 90.00
_space_group_name_H-M_alt 'P 1'
_space_group_IT_number 1
loop_
_space_group_symop_operation_xyz
'x,y,z'
loop_
_atom_site_label
_atom_site_type_symbol
_atom_site_fract_x
_atom_site_fract_y
_atom_site_fract_z
_atom_site_occupancy
Ca1 Ca 0.000 0.000 0.000 1
Ca2 Ca 0.500 0.500 0.390 1
Rh1 Rh 0.000 0.000 0.508 1
Au1 Au 0.500 0.500 0.870 1

***

7.
# SrSeCl6 PBE optimized geometry
# N(E_F) (states/eV/f.u.): 0.00
# Crystal system: trigonal
# Uncorrected formation energy (eV per atom): -1.06
data_SrSeCl6
_cell_length_a 7.181
_cell_length_b 7.181
_cell_length_c 7.181
_cell_angle_alpha 54.87
_cell_angle_beta 54.87
_cell_angle_gamma 54.87
_space_group_name_H-M_alt 'P 1'
_space_group_IT_number 1
loop_
_space_group_symop_operation_xyz
'x,y,z'
loop_
_atom_site_label
_atom_site_type_symbol
_atom_site_fract_x
_atom_site_fract_y
_atom_site_fract_z
_atom_site_occupancy
Sr1 Sr 0.000 0.000 0.000 1
Se1 Se 0.500 0.500 0.500 1
Cl1 Cl 0.109 0.454 0.709 1
Cl2 Cl 0.291 0.891 0.546 1
Cl3 Cl 0.454 0.709 0.109 1
Cl4 Cl 0.546 0.291 0.891 1
Cl5 Cl 0.709 0.109 0.454 1
Cl6 Cl 0.891 0.546 0.291 1

***

8.
# Ba2Li3CeSb4 PBE optimized geometry
# N(E_F) (states/eV/f.u.): 8.25
# Crystal system: tetragonal
# Uncorrected formation energy (eV per atom): -0.79
data_Ba2Li3CeSb4
_cell_length_a 4.954
_cell_length_b 4.954
_cell_length_c 12.234
_cell_angle_alpha 90.00
_cell_angle_beta 90.00
_cell_angle_gamma 90.00
_space_group_name_H-M_alt 'P 1'
_space_group_IT_number 1
loop_
_space_group_symop_operation_xyz
'x,y,z'
loop_
_atom_site_label
_atom_site_type_symbol
_atom_site_fract_x
_atom_site_fract_y
_atom_site_fract_z
_atom_site_occupancy
Ba1 Ba 0.000 0.500 0.219 1
Ba2 Ba 0.500 0.000 0.781 1
Li1 Li 0.000 0.500 0.884 1
Li2 Li 0.500 0.000 0.116 1
Li3 Li 0.500 0.500 0.500 1
Ce1 Ce 0.000 0.000 0.500 1
Sb1 Sb 0.000 0.000 0.000 1
Sb2 Sb 0.000 0.500 0.653 1
Sb3 Sb 0.500 0.000 0.347 1
Sb4 Sb 0.500 0.500 0.000 1

***

9.
# Zr2InC PBE optimized geometry
# Energy relative to the elements (eV per atom): -0.67
# N(E_F) (states/eV/f.u.): 1.23
# Crystal system: trigonal
# Polymorph energy (0 for the lowest one) (eV per atom): 0.023
data_Zr2InC
_cell_length_a 3.365
_cell_length_b 3.365
_cell_length_c 22.833
_cell_angle_alpha 90.00
_cell_angle_beta 90.00
_cell_angle_gamma 120.00
_space_group_name_H-M_alt 'P 1'
_space_group_IT_number 1
loop_
_space_group_symop_operation_xyz
'x,y,z'
loop_
_atom_site_label
_atom_site_type_symbol
_atom_site_fract_x
_atom_site_fract_y
_atom_site_fract_z
_atom_site_occupancy
Zr1 Zr 0.000 0.000 0.000 1
Zr2 Zr 0.000 0.000 0.224 1
Zr3 Zr 0.333 0.667 0.667 1
Zr4 Zr 0.333 0.667 0.891 1
Zr5 Zr 0.667 0.333 0.333 1
Zr6 Zr 0.667 0.333 0.558 1
In1 In 0.000 0.000 0.779 1
In2 In 0.333 0.667 0.445 1
In3 In 0.667 0.333 0.112 1
C1 C 0.000 0.000 0.611 1
C2 C 0.333 0.667 0.278 1
C3 C 0.667 0.333 0.944 1

***

10.
# Zr9Ni4S PBE optimized geometry
# N(E_F) (states/eV/f.u.): 20.93
# Crystal system: hexagonal
# Uncorrected formation energy (eV per atom): -0.35
data_Zr9Ni4S
_cell_length_a 8.415
_cell_length_b 8.415
_cell_length_c 8.431
_cell_angle_alpha 90.00
_cell_angle_beta 90.00
_cell_angle_gamma 120.00
_space_group_name_H-M_alt 'P 1'
_space_group_IT_number 1
loop_
_space_group_symop_operation_xyz
'x,y,z'
loop_
_atom_site_label
_atom_site_type_symbol
_atom_site_fract_x
_atom_site_fract_y
_atom_site_fract_z
_atom_site_occupancy
Zr1 Zr 0.069 0.535 0.250 1
Zr2 Zr 0.192 0.384 0.556 1
Zr3 Zr 0.192 0.384 0.944 1
Zr4 Zr 0.192 0.808 0.556 1
Zr5 Zr 0.192 0.808 0.944 1
Zr6 Zr 0.384 0.192 0.056 1
Zr7 Zr 0.384 0.192 0.444 1
Zr8 Zr 0.465 0.535 0.250 1
Zr9 Zr 0.465 0.931 0.250 1
Zr10 Zr 0.535 0.069 0.750 1
Zr11 Zr 0.535 0.465 0.750 1
Zr12 Zr 0.616 0.808 0.556 1
Zr13 Zr 0.616 0.808 0.944 1
Zr14 Zr 0.808 0.192 0.056 1
Zr15 Zr 0.808 0.192 0.444 1
Zr16 Zr 0.808 0.616 0.056 1
Zr17 Zr 0.808 0.616 0.444 1
Zr18 Zr 0.931 0.465 0.750 1
Ni1 Ni 0.000 0.000 0.000 1
Ni2 Ni 0.000 0.000 0.500 1
Ni3 Ni 0.102 0.204 0.250 1
Ni4 Ni 0.102 0.898 0.250 1
Ni5 Ni 0.204 0.102 0.750 1
Ni6 Ni 0.796 0.898 0.250 1
Ni7 Ni 0.898 0.102 0.750 1
Ni8 Ni 0.898 0.796 0.750 1
S1 S 0.333 0.667 0.750 1
S2 S 0.667 0.333 0.250 1

***

11.
# YAlSn PBE optimized geometry
# Energy relative to the elements (eV per atom): -0.19
# N(E_F) (states/eV/f.u.): 2.56
# Crystal system: tetragonal
data_YAlSn
_cell_length_a 4.210
_cell_length_b 4.210
_cell_length_c 8.747
_cell_angle_alpha 90.00
_cell_angle_beta 90.00
_cell_angle_gamma 90.00
_space_group_name_H-M_alt 'P 1'
_space_group_IT_number 1
loop_
_space_group_symop_operation_xyz
'x,y,z'
loop_
_atom_site_label
_atom_site_type_symbol
_atom_site_fract_x
_atom_site_fract_y
_atom_site_fract_z
_atom_site_occupancy
Y1 Y 0.000 0.000 0.000 1
Y2 Y 0.500 0.500 0.500 1
Al1 Al 0.000 0.000 0.657 1
Al2 Al 0.500 0.500 0.157 1
Sn1 Sn 0.000 0.000 0.347 1
Sn2 Sn 0.500 0.500 0.847 1